1.
DFT (PBE) results for CsAsSe2Cl after structural relaxation.

a b c (Å): 5.7495 5.7495 9.2580
angles (deg): 90.00 90.00 90.00
Fractional coordinates of all 5 atoms:
Cs 0.0000 0.0000 0.0000
As 0.0000 0.0000 0.5000
Se 0.0000 0.5000 0.0000
Se 0.5000 0.0000 0.0000
Cl 0.5000 0.5000 0.5000

Summary:
DFT total energy (eV per formula unit): -8.29
Symmetry: P4/mmm (123)
Magnetization (μB per formula unit): 1.390
Uncorrected formation energy (eV per atom): 1.205
Relative energy among the computed polymorphs (eV/atom): 0.8625



2.
DFT (PBE) results for Cs2SnAsCl6 after structural relaxation.

a b c (Å): 8.0721 8.0721 8.0721
angles (deg): 124.39 124.39 82.55
Fractional coordinates of all 10 atoms:
Cs 0.2500 0.7500 0.5000
Cs 0.7500 0.2500 0.5000
Sn 0.0000 0.0000 0.0000
As 0.5000 0.5000 0.0000
Cl 0.2266 0.2266 0.0000
Cl 0.2639 0.2639 0.5278
Cl 0.2639 0.7361 0.0000
Cl 0.7361 0.2639 0.0000
Cl 0.7361 0.7361 0.4722
Cl 0.7734 0.7734 0.0000

Summary:
DFT total energy (eV per formula unit): -33.57
Symmetry: I4/mmm (139)
Magnetization (μB per formula unit): 1.000
Uncorrected formation energy (eV per atom): -1.213



3.
DFT (PBE) results for Cs2SrAsCl6 after structural relaxation.

a b c (Å): 8.2458 8.2458 8.2458
angles (deg): 125.03 125.03 81.48
Fractional coordinates of all 10 atoms:
Cs 0.2500 0.7500 0.5000
Cs 0.7500 0.2500 0.5000
Sr 0.0000 0.0000 0.0000
As 0.5000 0.5000 0.0000
Cl 0.2261 0.2261 0.0000
Cl 0.2677 0.2677 0.5355
Cl 0.2677 0.7323 0.0000
Cl 0.7323 0.2677 0.0000
Cl 0.7323 0.7323 0.4645
Cl 0.7739 0.7739 0.0000

Summary:
DFT total energy (eV per formula unit): -35.27
Symmetry: I4/mmm (139)
Magnetization (μB per formula unit): 1.000
Uncorrected formation energy (eV per atom): -1.616



4.
DFT (PBE) results for Cs2TaAsCl6 after structural relaxation.

a b c (Å): 8.1152 8.1152 8.1152
angles (deg): 60.00 60.00 60.00
Fractional coordinates of all 10 atoms:
Cs 0.2500 0.2500 0.2500
Cs 0.7500 0.7500 0.7500
Ta 0.0000 0.0000 0.0000
As 0.5000 0.5000 0.5000
Cl 0.2107 0.2107 0.7893
Cl 0.2107 0.7893 0.2107
Cl 0.2107 0.7893 0.7893
Cl 0.7893 0.2107 0.2107
Cl 0.7893 0.2107 0.7893
Cl 0.7893 0.7893 0.2107

Summary:
DFT total energy (eV per formula unit): -40.86
Symmetry: Fm-3m (225)
Magnetization (μB per formula unit): 2.000
Uncorrected formation energy (eV per atom): -1.157



5.
DFT (PBE) results for Cs2TeAsCl6 after structural relaxation.

a b c (Å): 7.6913 7.6913 7.6913
angles (deg): 118.38 118.38 92.84
Fractional coordinates of all 10 atoms:
Cs 0.2500 0.7500 0.5000
Cs 0.7500 0.2500 0.5000
Te 0.0000 0.0000 0.0000
As 0.5000 0.5000 0.0000
Cl 0.2569 0.2569 0.0000
Cl 0.2736 0.2736 0.5473
Cl 0.2736 0.7264 0.0000
Cl 0.7264 0.2736 0.0000
Cl 0.7264 0.7264 0.4527
Cl 0.7431 0.7431 0.0000

Summary:
DFT total energy (eV per formula unit): -30.82
Symmetry: I4/mmm (139)
Magnetization (μB per formula unit): 0.000
Uncorrected formation energy (eV per atom): -1.024



6.
DFT (PBE) results for Cs2TiAsCl6 after structural relaxation.

a b c (Å): 7.6035 7.6035 7.6035
angles (deg): 115.94 115.94 97.20
Fractional coordinates of all 10 atoms:
Cs 0.2500 0.7500 0.5000
Cs 0.7500 0.2500 0.5000
Ti 0.0000 0.0000 0.0000
As 0.5000 0.5000 0.0000
Cl 0.2115 0.2115 0.4230
Cl 0.2115 0.7885 0.0000
Cl 0.2525 0.2525 0.0000
Cl 0.7475 0.7475 0.0000
Cl 0.7885 0.2115 0.0000
Cl 0.7885 0.7885 0.5770

Summary:
DFT total energy (eV per formula unit): -38.73
Symmetry: I4/mmm (139)
Magnetization (μB per formula unit): 3.062
Uncorrected formation energy (eV per atom): -1.340



7.
DFT (PBE) results for CsTl2AsCl8 after structural relaxation.

a b c (Å): 6.6727 6.8583 9.5523
angles (deg): 77.52 81.75 79.23
Fractional coordinates of all 12 atoms:
Cs 0.0000 0.0000 0.0000
Tl 0.4511 0.4491 0.2430
Tl 0.5489 0.5509 0.7570
As 0.0000 0.0000 0.5000
Cl 0.1448 0.7481 0.7071
Cl 0.2206 0.7989 0.3325
Cl 0.2699 0.2046 0.4918
Cl 0.3848 0.2938 0.0146
Cl 0.6152 0.7062 0.9854
Cl 0.7301 0.7954 0.5082
Cl 0.7794 0.2011 0.6675
Cl 0.8552 0.2519 0.2929

Summary:
DFT total energy (eV per formula unit): -35.45
Symmetry: P-1 (2)
Magnetization (μB per formula unit): 0.000
Uncorrected formation energy (eV per atom): -0.870



8.
DFT (PBE) results for CsTl2AsCl6 after structural relaxation.

a b c (Å): 8.1173 8.1173 8.1173
angles (deg): 58.36 58.36 58.36
Fractional coordinates of all 10 atoms:
Cs 0.0000 0.0000 0.0000
Tl 0.2889 0.2889 0.2889
Tl 0.7929 0.7929 0.7929
As 0.4896 0.4896 0.4896
Cl 0.1459 0.6647 0.4139
Cl 0.2881 0.5732 0.8080
Cl 0.4139 0.1459 0.6647
Cl 0.5732 0.8080 0.2881
Cl 0.6647 0.4139 0.1459
Cl 0.8080 0.2881 0.5732

Summary:
DFT total energy (eV per formula unit): -32.00
Symmetry: R3 (146)
Magnetization (μB per formula unit): 0.000
Uncorrected formation energy (eV per atom): -1.068



9.
DFT (PBE) results for Cs2AsWCl6 after structural relaxation.

a b c (Å): 7.9816 7.9816 7.9816
angles (deg): 126.31 126.31 79.39
Fractional coordinates of all 10 atoms:
Cs 0.2500 0.7500 0.5000
Cs 0.7500 0.2500 0.5000
As 0.0000 0.0000 0.0000
W 0.5000 0.5000 0.0000
Cl 0.2584 0.2584 0.5167
Cl 0.2584 0.7416 0.0000
Cl 0.3013 0.3013 0.0000
Cl 0.6987 0.6987 0.0000
Cl 0.7416 0.2584 0.0000
Cl 0.7416 0.7416 0.4833

Summary:
DFT total energy (eV per formula unit): -39.69
Symmetry: I4/mmm (139)
Magnetization (μB per formula unit): 3.000
Uncorrected formation energy (eV per atom): -0.930



10.
DFT (PBE) results for Cs2YAsCl6 after structural relaxation.

a b c (Å): 8.3776 8.3776 8.3776
angles (deg): 127.73 127.73 77.07
Fractional coordinates of all 10 atoms:
Cs 0.2500 0.7500 0.5000
Cs 0.7500 0.2500 0.5000
Y 0.0000 0.0000 0.0000
As 0.5000 0.5000 0.0000
Cl 0.2007 0.2007 0.0000
Cl 0.2534 0.2534 0.5067
Cl 0.2534 0.7466 0.0000
Cl 0.7466 0.2534 0.0000
Cl 0.7466 0.7466 0.4933
Cl 0.7993 0.7993 0.0000

Summary:
DFT total energy (eV per formula unit): -40.11
Symmetry: I4/mmm (139)
Magnetization (μB per formula unit): 0.000
Uncorrected formation energy (eV per atom): -1.621



11.
DFT (PBE) results for CsZn2AsCl8 after structural relaxation.

a b c (Å): 11.2893 11.2893 11.2893
angles (deg): 32.72 32.72 32.72
Fractional coordinates of all 12 atoms:
Cs 0.0000 0.0000 0.0000
Zn 0.2363 0.2363 0.2363
Zn 0.7637 0.7637 0.7637
As 0.5000 0.5000 0.5000
Cl 0.1375 0.7791 0.4442
Cl 0.2209 0.5558 0.8625
Cl 0.3057 0.3057 0.3057
Cl 0.4442 0.1375 0.7791
Cl 0.5558 0.8625 0.2209
Cl 0.6943 0.6943 0.6943
Cl 0.7791 0.4442 0.1375
Cl 0.8625 0.2209 0.5558

Summary:
DFT total energy (eV per formula unit): -36.11
Symmetry: R-3 (148)
Magnetization (μB per formula unit): 0.000
Uncorrected formation energy (eV per atom): -1.107